[1]
MnCrAuS | the Alexandria database | PBE | optimized geometry; DFT total energy = -6.64 eV per atom; M_tot = 0.828 μB/atom; E above lowest polymorph = 0.0 meV/atom; formation energy without anion corrections = -87 meV/atom; density = 9.03 Mg/m³
1.0
-6.900 1.191 4.636
-1.671 -0.902 -2.255
1.144 -4.843 1.091
Cr S Mn Au
2 2 2 2
Direct
0.371 0.500 0.282 Cr
0.371 0.000 0.782 Cr
0.197 0.500 0.891 S
0.197 0.000 0.391 S
0.612 0.000 0.531 Mn
0.612 0.500 0.031 Mn
0.876 0.000 0.285 Au
0.876 0.500 0.785 Au

=====

[2]
MnCrAuS | the Alexandria database | PBE | optimized geometry; DFT total energy = -6.44 eV per atom; M_tot = 1.481 μB/atom; E above lowest polymorph = 192.6 meV/atom; formation energy without anion corrections = 106 meV/atom; density = 8.36 Mg/m³
1.0
5.467 0.000 -0.329
0.000 3.119 0.000
-1.289 0.000 7.903
Cr S Mn Au
2 2 2 2
Direct
0.496 0.500 0.419 Cr
0.496 0.000 0.919 Cr
0.803 0.000 0.388 S
0.803 0.500 0.888 S
0.768 0.500 0.175 Mn
0.768 0.000 0.675 Mn
0.240 0.500 0.098 Au
0.240 0.000 0.598 Au

=====

[3]
MnCrAuS | the Alexandria database | PBE | optimized geometry; DFT total energy = -6.62 eV per atom; M_tot = 0.861 μB/atom; E above lowest polymorph = 13.2 meV/atom; formation energy without anion corrections = -74 meV/atom; density = 8.99 Mg/m³
1.0
-1.803 0.000 -2.327
-0.887 -1.175 2.549
-9.039 22.015 7.000
Au Cr S Mn
3 3 3 3
Direct
0.000 0.000 0.804 Au
0.667 0.333 0.138 Au
0.333 0.667 0.471 Au
0.667 0.333 0.307 Cr
0.333 0.667 0.640 Cr
0.000 0.000 0.973 Cr
0.667 0.333 0.031 S
0.333 0.667 0.364 S
0.000 0.000 0.698 S
0.667 0.333 0.893 Mn
0.000 0.000 0.560 Mn
0.333 0.667 0.226 Mn

=====

[4]
MnCrSbAu | the Alexandria database | PBE | optimized geometry; DFT total energy = -6.32 eV per atom; M_tot = 1.916 μB/atom; formation energy without anion corrections = 228 meV/atom; density = 9.76 Mg/m³
1.0
4.679 0.000 0.000
2.339 4.052 0.000
2.339 1.351 3.820
Cr Au Sb Mn
1 1 1 1
Direct
0.500 0.500 0.500 Cr
0.250 0.250 0.250 Au
0.750 0.750 0.750 Sb
0.000 0.000 0.000 Mn

=====

[5]
TaMnCr2Au | the Alexandria database | PBE | optimized geometry; DFT total energy = -6.74 eV per atom; M_tot = 0.631 μB/atom; ΔH_f (0 K) = 1.972 eV per atom; density = 9.08 Mg/m³
1.0
-0.292 1.131 4.447
-0.208 -4.497 1.130
4.584 -0.128 0.334
Ta Mn Cr Au
1 1 2 1
Direct
0.500 0.500 0.500 Ta
0.000 0.500 0.000 Mn
0.500 0.000 0.000 Cr
0.000 0.000 0.500 Cr
0.000 0.000 0.000 Au

=====

[6]
Mn2TlCrAu | the Alexandria database | PBE | optimized geometry; DFT total energy = -5.92 eV per atom; M_tot = 0.853 μB/atom; ΔH_f (0 K) = 0.803 eV per atom; density = 9.01 Mg/m³
1.0
4.507 0.000 0.000
0.000 5.111 0.000
0.000 0.000 4.507
Mn Tl Cr Au
2 1 1 1
Direct
0.500 0.000 0.000 Mn
0.000 0.000 0.500 Mn
0.500 0.500 0.500 Tl
0.000 0.000 0.000 Cr
0.000 0.500 0.000 Au

=====

[7]
Cr2MoAu | the Alexandria database | PBE | optimized geometry; DFT total energy = -8.11 eV per atom; M_tot = 1.112 μB/atom; ΔH_f (0 K) = 0.227 eV per atom; E above lowest polymorph = 0.0 meV/atom; density = 10.81 Mg/m³
1.0
3.160 0.000 0.000
0.000 3.158 0.000
0.000 0.000 6.109
Mo Cr Au
1 2 1
Direct
0.500 0.500 0.250 Mo
0.000 0.000 0.478 Cr
0.000 0.000 0.022 Cr
0.500 0.500 0.750 Au

=====

[8]
CrMoAu | the Alexandria database | PBE | optimized geometry; DFT total energy = -7.57 eV per atom; M_tot = 0.894 μB/atom; ΔH_f (0 K) = 0.338 eV per atom; E above lowest polymorph = 67.1 meV/atom; density = 12.07 Mg/m³
1.0
6.476 -0.054 0.000
5.321 3.693 0.000
-5.898 -1.820 1.960
Au Cr Mo
1 1 1
Direct
0.997 0.997 0.000 Au
0.328 0.328 0.000 Cr
0.675 0.675 0.000 Mo

=====

[9]
CrMoAu | the Alexandria database | PBE | optimized geometry; DFT total energy = -7.51 eV per atom; M_tot = 0.110 μB/atom; ΔH_f (0 K) = 0.402 eV per atom; E above lowest polymorph = 131.4 meV/atom; density = 12.55 Mg/m³
1.0
-0.699 1.523 4.141
-3.146 -2.418 -2.051
1.053 -2.210 0.990
Au Cr Mo
1 1 1
Direct
0.000 0.000 0.048 Au
0.333 0.667 0.347 Cr
0.667 0.333 0.604 Mo

=====

[10]
CrMoAu2 | the Alexandria database | PBE | optimized geometry; DFT total energy = -6.51 eV per atom; M_tot = 0.000 μB/atom; ΔH_f (0 K) = 0.238 eV per atom; E above lowest polymorph = 0.9 meV/atom; density = 13.85 Mg/m³
1.0
-0.849 2.425 1.046
-0.813 -0.293 -2.636
-7.674 -3.894 2.801
Au Mo Cr
2 1 1
Direct
0.500 0.500 0.270 Au
0.000 0.000 0.990 Au
0.500 0.500 0.722 Mo
0.000 0.000 0.518 Cr

=====

[11]
Cr2MoAu | the Alexandria database | PBE | optimized geometry; DFT total energy = -7.90 eV per atom; M_tot = 0.563 μB/atom; ΔH_f (0 K) = 0.437 eV per atom; E above lowest polymorph = 210.0 meV/atom; density = 11.25 Mg/m³
1.0
-1.710 -1.235 1.625
2.040 -1.115 1.298
0.244 6.447 5.155
Cr Au Mo
2 1 1
Direct
0.000 0.000 0.495 Cr
0.000 0.000 0.005 Cr
0.500 0.500 0.750 Au
0.500 0.500 0.250 Mo

=====

[12]
CrMoAu2 | the Alexandria database | PBE | optimized geometry; DFT total energy = -6.44 eV per atom; M_tot = 0.927 μB/atom; ΔH_f (0 K) = 0.309 eV per atom; E above lowest polymorph = 72.4 meV/atom; density = 13.62 Mg/m³
1.0
2.857 0.010 0.000
-0.010 2.857 0.000
0.000 0.000 8.092
Au Mo Cr
2 1 1
Direct
0.000 0.000 0.494 Au
0.000 0.000 0.006 Au
0.500 0.500 0.750 Mo
0.500 0.500 0.250 Cr

=====

Repeat the fifth record exactly.
TaMnCr2Au | the Alexandria database | PBE | optimized geometry; DFT total energy = -6.74 eV per atom; M_tot = 0.631 μB/atom; ΔH_f (0 K) = 1.972 eV per atom; density = 9.08 Mg/m³
1.0
-0.292 1.131 4.447
-0.208 -4.497 1.130
4.584 -0.128 0.334
Ta Mn Cr Au
1 1 2 1
Direct
0.500 0.500 0.500 Ta
0.000 0.500 0.000 Mn
0.500 0.000 0.000 Cr
0.000 0.000 0.500 Cr
0.000 0.000 0.000 Au